[1]
The following is a DFT calculation (PBE-GGA) of a geometry-optimized ZrScW2 structure.

As for the space group: No. 44. As for the crystal system: orthorhombic. Its raw total energy is -10.055 eV/atom. The calculation puts the energy above the lowest structure with this stoichiometry at 26 meV per atom.

a b c (Å): 5.6444 5.6444 5.6444
angles (deg): 145.71 129.67 62.32
Positions (direct):
Zr 0.0000 0.0000 0.0000
Sc 0.2696 0.7696 0.5000
W 0.5341 0.5341 0.0000
W 0.7355 0.2355 0.5000

[2]
The following is a DFT calculation (PBE-GGA) of a geometry-optimized ZrSc2W structure.

As for the space group: No. 12. As for the crystal system: monoclinic. Its raw total energy is -8.338 eV/atom. The calculation puts the energy above the lowest structure with this stoichiometry at 42 meV per atom.

a b c (Å): 5.8458 5.8458 4.7205
angles (deg): 113.74 113.74 34.86
Positions (direct):
Zr 0.0000 0.0000 0.0000
Sc 0.2218 0.2218 0.7218
Sc 0.7782 0.7782 0.2782
W 0.5000 0.5000 0.5000

[3]
The following is a DFT calculation (PBE-GGA) of a geometry-optimized ZrSc2W structure.

As for the space group: No. 47. As for the crystal system: orthorhombic. Its raw total energy is -8.311 eV/atom. The calculation puts the energy above the lowest structure with this stoichiometry at 68 meV per atom.

a b c (Å): 4.1364 4.1488 4.8080
angles (deg): 90.00 90.00 90.00
Positions (direct):
Zr 0.0000 0.0000 0.0000
Sc 0.0000 0.5000 0.5000
Sc 0.5000 0.0000 0.5000
W 0.5000 0.5000 0.0000

[4]
The following is a DFT calculation (PBE-GGA) of a geometry-optimized ZrScW3 structure.

As for the space group: No. 221. As for the crystal system: cubic. Its raw total energy is -8.771 eV/atom. The calculation puts the energy above the lowest structure with this stoichiometry at 0 meV per atom.

a b c (Å): 4.6539 4.6539 4.6539
angles (deg): 90.00 90.00 90.00
Positions (direct):
Zr 0.0000 0.0000 0.0000
Sc 0.5000 0.5000 0.5000
W 0.0000 0.5000 0.5000
W 0.5000 0.0000 0.5000
W 0.5000 0.5000 0.0000

[5]
The following is a DFT calculation (PBE-GGA) of a geometry-optimized ZrSc2W structure.

As for the space group: No. 65. As for the crystal system: orthorhombic. Its raw total energy is -8.285 eV/atom. The calculation puts the energy above the lowest structure with this stoichiometry at 94 meV per atom.

a b c (Å): 5.5763 5.5763 2.9415
angles (deg): 90.00 90.00 116.31
Positions (direct):
Zr 0.0000 0.0000 0.0000
Sc 0.0000 0.5000 0.5000
Sc 0.5000 0.0000 0.5000
W 0.5000 0.5000 0.0000

[6]
The following is a DFT calculation (PBE-GGA) of a geometry-optimized Y5Sc structure.

As for the space group: No. 191. As for the crystal system: hexagonal. Its raw total energy is -6.003 eV/atom.

a b c (Å): 6.4030 6.4030 5.7195
angles (deg): 90.00 90.00 120.00
Positions (direct):
Y 0.0000 0.5000 0.0000
Y 0.3333 0.6667 0.5000
Y 0.5000 0.0000 0.0000
Y 0.5000 0.5000 0.0000
Y 0.6667 0.3333 0.5000
Sc 0.0000 0.0000 0.5000

[7]
The following is a DFT calculation (PBE-GGA) of a geometry-optimized Y5Sc2 structure.

As for the space group: No. 15. As for the crystal system: monoclinic. Its raw total energy is -6.407 eV/atom.

a b c (Å): 8.2746 8.2746 9.0057
angles (deg): 95.79 95.79 43.63
Positions (direct):
Y 0.0346 0.6907 0.0384
Y 0.1211 0.4464 0.6780
Y 0.1748 0.8252 0.7500
Y 0.3093 0.9654 0.4616
Y 0.4464 0.1211 0.1780
Y 0.5536 0.8789 0.8220
Y 0.6907 0.0346 0.5384
Y 0.8252 0.1748 0.2500
Y 0.8789 0.5536 0.3220
Y 0.9654 0.3093 0.9616
Sc 0.2674 0.5932 0.3933
Sc 0.4068 0.7326 0.1067
Sc 0.5932 0.2674 0.8933
Sc 0.7326 0.4068 0.6067

[8]
The following is a DFT calculation (PBE-GGA) of a geometry-optimized Y3Sc structure.

As for the space group: No. 123. As for the crystal system: tetragonal. Its raw total energy is -6.385 eV/atom. The calculation puts the energy above the lowest structure with this stoichiometry at 29 meV per atom.

a b c (Å): 3.5242 3.5242 9.7469
angles (deg): 90.00 90.00 90.00
Positions (direct):
Y 0.0000 0.0000 0.0000
Y 0.5000 0.5000 0.2624
Y 0.5000 0.5000 0.7376
Sc 0.0000 0.0000 0.5000

[9]
The following is a DFT calculation (PBE-GGA) of a geometry-optimized Y2Sc structure.

As for the space group: No. 8. As for the crystal system: monoclinic. Its raw total energy is -6.388 eV/atom. The calculation puts the energy above the lowest structure with this stoichiometry at 10 meV per atom.

a b c (Å): 6.5432 6.5432 8.2241
angles (deg): 102.33 102.33 31.49
Positions (direct):
Y 0.0000 0.0000 0.0000
Y 0.0513 0.0513 0.6027
Y 0.3797 0.3797 0.2782
Y 0.7230 0.7230 0.9333
Sc 0.3280 0.3280 0.6553
Sc 0.6640 0.6640 0.3351

[10]
The following is a DFT calculation (PBE-GGA) of a geometry-optimized Y6Sc5 structure.

As for the space group: No. 12. As for the crystal system: monoclinic. Its raw total energy is -6.261 eV/atom.

a b c (Å): 7.9732 7.9732 5.7249
angles (deg): 104.27 104.27 104.75
Positions (direct):
Y 0.0426 0.3360 0.6401
Y 0.1870 0.1870 0.1321
Y 0.3360 0.0426 0.6401
Y 0.6640 0.9574 0.3599
Y 0.8130 0.8130 0.8679
Y 0.9574 0.6640 0.3599
Sc 0.2352 0.7648 0.0000
Sc 0.3744 0.6256 0.5000
Sc 0.5000 0.5000 0.0000
Sc 0.6256 0.3744 0.5000
Sc 0.7648 0.2352 0.0000

[11]
The following is a DFT calculation (PBE-GGA) of a geometry-optimized YSc structure.

As for the space group: No. 164. As for the crystal system: trigonal. Its raw total energy is -6.362 eV/atom. The calculation puts the energy above the lowest structure with this stoichiometry at 13 meV per atom.

a b c (Å): 3.4851 3.4851 10.8236
angles (deg): 90.00 90.00 120.00
Positions (direct):
Y 0.3333 0.6667 0.3640
Y 0.6667 0.3333 0.6360
Sc 0.3333 0.6667 0.8855
Sc 0.6667 0.3333 0.1145

[12]
The following is a DFT calculation (PBE-GGA) of a geometry-optimized YSc structure.

As for the space group: No. 194. As for the crystal system: hexagonal. Its raw total energy is -6.103 eV/atom. The calculation puts the energy above the lowest structure with this stoichiometry at 272 meV per atom.

a b c (Å): 5.4468 5.4468 9.2024
angles (deg): 90.00 90.00 120.00
Positions (direct):
Y 0.0000 0.0000 0.2500
Y 0.0000 0.0000 0.7500
Y 0.3333 0.6667 0.2500
Y 0.6667 0.3333 0.7500
Sc 0.3333 0.6667 0.5903
Sc 0.3333 0.6667 0.9097
Sc 0.6667 0.3333 0.0903
Sc 0.6667 0.3333 0.4097

[13]
The following is a DFT calculation (PBE-GGA) of a geometry-optimized Y3Sc structure.

As for the space group: No. 63. As for the crystal system: orthorhombic. Its raw total energy is -6.403 eV/atom. The calculation puts the energy above the lowest structure with this stoichiometry at 10 meV per atom.

a b c (Å): 7.1275 7.1275 5.5660
angles (deg): 90.00 90.00 120.01
Positions (direct):
Y 0.0826 0.9174 0.7500
Y 0.0875 0.4171 0.7500
Y 0.4171 0.0875 0.2500
Y 0.5829 0.9125 0.7500
Y 0.9125 0.5829 0.2500
Y 0.9174 0.0826 0.2500
Sc 0.4187 0.5813 0.2500
Sc 0.5813 0.4187 0.7500

[14]
The following is a DFT calculation (PBE-GGA) of a geometry-optimized Y3Sc5 structure.

As for the space group: No. 25. As for the crystal system: orthorhombic. Its raw total energy is -6.348 eV/atom. The calculation puts the energy above the lowest structure with this stoichiometry at 0 meV per atom.

a b c (Å): 3.4474 5.3768 11.8729
angles (deg): 90.00 90.00 90.00
Positions (direct):
Y 0.0000 0.0000 0.0000
Y 0.0000 0.5000 0.1799
Y 0.5000 0.0000 0.2736
Sc 0.0000 0.0000 0.5208
Sc 0.0000 0.5000 0.6797
Sc 0.5000 0.0000 0.7529
Sc 0.5000 0.5000 0.4421
Sc 0.5000 0.5000 0.9153

[15]
The following is a DFT calculation (PBE-GGA) of a geometry-optimized YSc structure.

As for the space group: No. 11. As for the crystal system: monoclinic. Its raw total energy is -6.361 eV/atom. The calculation puts the energy above the lowest structure with this stoichiometry at 14 meV per atom.

a b c (Å): 3.4012 5.2537 6.5877
angles (deg): 90.00 104.91 90.00
Positions (direct):
Y 0.1684 0.2500 0.3379
Y 0.8316 0.7500 0.6621
Sc 0.4380 0.2500 0.8755
Sc 0.5620 0.7500 0.1245

[16]
The following is a DFT calculation (PBE-GGA) of a geometry-optimized YSc structure.

As for the space group: No. 166. As for the crystal system: trigonal. Its raw total energy is -6.325 eV/atom. The calculation puts the energy above the lowest structure with this stoichiometry at 50 meV per atom.

a b c (Å): 5.8631 5.8631 5.8631
angles (deg): 34.07 34.07 34.07
Positions (direct):
Y 0.0000 0.0000 0.0000
Sc 0.5000 0.5000 0.5000

[17]
The following is a DFT calculation (PBE-GGA) of a geometry-optimized YSc structure.

As for the space group: No. 216. As for the crystal system: cubic. Its raw total energy is -4.442 eV/atom. The calculation puts the energy above the lowest structure with this stoichiometry at 1933 meV per atom.

a b c (Å): 4.7441 4.7441 4.7441
angles (deg): 60.00 60.00 60.00
Positions (direct):
Y 0.0000 0.0000 0.0000
Sc 0.2500 0.2500 0.2500

[18]
The following is a DFT calculation (PBE-GGA) of a geometry-optimized YSc structure.

As for the space group: No. 166. As for the crystal system: trigonal. Its raw total energy is -6.328 eV/atom. The calculation puts the energy above the lowest structure with this stoichiometry at 47 meV per atom.

a b c (Å): 11.2579 11.2579 11.2579
angles (deg): 17.54 17.54 17.54
Positions (direct):
Y 0.1216 0.1216 0.1216
Y 0.8784 0.8784 0.8784
Sc 0.3718 0.3718 0.3718
Sc 0.6282 0.6282 0.6282

[19]
The following is a DFT calculation (PBE-GGA) of a geometry-optimized Y3Sc structure.

As for the space group: No. 225. As for the crystal system: cubic. Its raw total energy is -6.300 eV/atom. The calculation puts the energy above the lowest structure with this stoichiometry at 114 meV per atom.

a b c (Å): 5.5719 5.5719 5.5719
angles (deg): 60.00 60.00 60.00
Positions (direct):
Y 0.0000 0.0000 0.0000
Y 0.2500 0.2500 0.2500
Y 0.7500 0.7500 0.7500
Sc 0.5000 0.5000 0.5000

[20]
The following is a DFT calculation (PBE-GGA) of a geometry-optimized YSc structure.

As for the space group: No. 187. As for the crystal system: hexagonal. Its raw total energy is -6.349 eV/atom. The calculation puts the energy above the lowest structure with this stoichiometry at 26 meV per atom.

a b c (Å): 3.4914 3.4914 5.4166
angles (deg): 90.00 90.00 120.00
Positions (direct):
Y 0.0000 0.0000 0.0000
Sc 0.6667 0.3333 0.5000

[21]
The following is a DFT calculation (PBE-GGA) of a geometry-optimized YSc structure.

As for the space group: No. 223. As for the crystal system: cubic. Its raw total energy is -4.336 eV/atom. The calculation puts the energy above the lowest structure with this stoichiometry at 2039 meV per atom.

a b c (Å): 8.5292 8.5292 8.5292
angles (deg): 90.00 90.00 90.00
Positions (direct):
Y 0.0000 0.2500 0.5000
Y 0.0000 0.7500 0.5000
Y 0.2500 0.5000 0.0000
Y 0.5000 0.0000 0.2500
Y 0.5000 0.0000 0.7500
Y 0.7500 0.5000 0.0000
Sc 0.0000 0.5000 0.2500
Sc 0.0000 0.5000 0.7500
Sc 0.2500 0.0000 0.5000
Sc 0.5000 0.2500 0.0000
Sc 0.5000 0.7500 0.0000
Sc 0.7500 0.0000 0.5000

[22]
The following is a DFT calculation (PBE-GGA) of a geometry-optimized YSc5 structure.

As for the space group: No. 123. As for the crystal system: tetragonal. Its raw total energy is -6.297 eV/atom. The calculation puts the energy above the lowest structure with this stoichiometry at 39 meV per atom.

a b c (Å): 3.3229 3.3229 13.9665
angles (deg): 90.00 90.00 90.00
Positions (direct):
Y 0.0000 0.0000 0.0000
Sc 0.0000 0.0000 0.3382
Sc 0.0000 0.0000 0.6618
Sc 0.5000 0.5000 0.1773
Sc 0.5000 0.5000 0.5000
Sc 0.5000 0.5000 0.8227

[23]
The following is a DFT calculation (PBE-GGA) of a geometry-optimized Y2Sc structure.

As for the space group: No. 194. As for the crystal system: hexagonal. Its raw total energy is -6.350 eV/atom. The calculation puts the energy above the lowest structure with this stoichiometry at 48 meV per atom.

a b c (Å): 5.4582 5.4582 6.8966
angles (deg): 90.00 90.00 120.00
Positions (direct):
Y 0.0000 0.0000 0.0000
Y 0.0000 0.0000 0.5000
Y 0.3333 0.6667 0.2500
Y 0.6667 0.3333 0.7500
Sc 0.3333 0.6667 0.7500
Sc 0.6667 0.3333 0.2500

[24]
The following is a DFT calculation (PBE-GGA) of a geometry-optimized YSc structure.

As for the space group: No. 141. As for the crystal system: tetragonal. Its raw total energy is -6.333 eV/atom. The calculation puts the energy above the lowest structure with this stoichiometry at 43 meV per atom.

a b c (Å): 5.9219 5.9219 5.9219
angles (deg): 131.80 131.80 70.54
Positions (direct):
Y 0.3750 0.6250 0.7500
Y 0.6250 0.3750 0.2500
Sc 0.1250 0.8750 0.2500
Sc 0.8750 0.1250 0.7500

[25]
The following is a DFT calculation (PBE-GGA) of a geometry-optimized YSc structure.

As for the space group: No. 194. As for the crystal system: hexagonal. Its raw total energy is -6.107 eV/atom. The calculation puts the energy above the lowest structure with this stoichiometry at 268 meV per atom.

a b c (Å): 9.2137 9.2137 4.9614
angles (deg): 90.00 90.00 120.00
Positions (direct):
Y 0.1553 0.3105 0.2500
Y 0.1553 0.8447 0.2500
Y 0.3105 0.1553 0.7500
Y 0.6895 0.8447 0.2500
Y 0.8447 0.1553 0.7500
Y 0.8447 0.6895 0.7500
Sc 0.1145 0.5573 0.7500
Sc 0.4427 0.5573 0.7500
Sc 0.4427 0.8855 0.7500
Sc 0.5573 0.1145 0.2500
Sc 0.5573 0.4427 0.2500
Sc 0.8855 0.4427 0.2500

[26]
The following is a DFT calculation (PBE-GGA) of a geometry-optimized YSc6 structure.

As for the space group: No. 229. As for the crystal system: cubic. Its raw total energy is -5.059 eV/atom.

a b c (Å): 6.3053 6.3053 6.3053
angles (deg): 109.47 109.47 109.47
Positions (direct):
Y 0.0000 0.0000 0.0000
Sc 0.2500 0.5000 0.7500
Sc 0.2500 0.7500 0.5000
Sc 0.5000 0.2500 0.7500
Sc 0.5000 0.7500 0.2500
Sc 0.7500 0.2500 0.5000
Sc 0.7500 0.5000 0.2500

[27]
The following is a DFT calculation (PBE-GGA) of a geometry-optimized Y2Sc structure.

As for the space group: No. 141. As for the crystal system: tetragonal. Its raw total energy is -6.248 eV/atom. The calculation puts the energy above the lowest structure with this stoichiometry at 150 meV per atom.

a b c (Å): 16.0024 16.0024 16.0024
angles (deg): 167.82 167.82 17.26
Positions (direct):
Y 0.2990 0.5490 0.7500
Y 0.4510 0.7010 0.7500
Y 0.5490 0.2990 0.2500
Y 0.7010 0.4510 0.2500
Sc 0.1250 0.8750 0.2500
Sc 0.8750 0.1250 0.7500

The calculation returns the following calculated volume values, one per record and in order: 19.293; 20.899; 20.628; 20.160; 20.498; 33.846; 30.211; 30.263; 29.888; 29.270; 28.462; 29.555; 30.606; 27.509; 28.438; 28.199; 37.750; 28.281; 30.580; 28.591; 51.706; 25.702; 29.656; 28.268; 30.396; 27.567; 30.420 Å³/atom.
The calculation returns the following magnetic moment values, one per record and in order: 0.00; 0.00; 0.00; 0.00; 0.00; 0.00; 0.00; 0.00; 0.00; 0.00; 0.00; 0.00; 0.93; 1.63; 0.00; 0.00; 0.00; 0.00; 0.00; 0.43; 0.48; 0.00; 0.01; 0.00; 0.00; 0.00; 0.17 μB/f.u..
The calculation returns the following energy of formation values, one per record and in order: 0.142; 0.203; 0.230; 1.977; 0.256; 0.439; 0.019; 0.046; 0.032; 0.143; 0.036; 0.295; 0.028; 0.034; 0.037; 0.073; 1.956; 0.070; 0.131; 0.049; 2.061; 0.056; 0.070; 0.065; 0.291; 1.291; 0.172 eV per atom.